Record 1
## NaTb2P (PBE-GGA)

Data for crystalline NaTb2P at its relaxed geometry.

extended XYZ file:
```
4
Lattice="1.9133 1.1047 10.4156 -1.9133 1.1047 10.4156 0.0000 -2.2093 10.4156" Properties=species:S:1:pos:R:3 pbc="T T T"
Na 0.0000 0.0000 0.0000
Tb 0.0000 0.0000 3.6140
Tb 0.0000 0.0000 27.6328
P 0.0000 0.0000 15.6234
```

Results
Calculated volume (A^3/atom): 33.0
Symmetry: R-3m
Total moment (μB/cell): 0.00
Energy relative to the elements (meV per atom): -585
Density (g/cm3): 4.67


Record 2
## SrCr2ReAg (PBE-GGA)

Data for crystalline SrCr2ReAg at its relaxed geometry.

extended XYZ file:
```
5
Lattice="4.7191 0.0000 0.0000 0.0000 4.7191 0.0000 0.0000 0.0000 5.2350" Properties=species:S:1:pos:R:3 pbc="T T T"
Sr 0.0000 0.0000 0.0000
Cr 0.0000 2.3595 2.6175
Cr 2.3595 0.0000 2.6175
Re 2.3595 2.3595 0.0000
Ag 0.0000 0.0000 2.6175
```

Results
Calculated volume (A^3/atom): 23.3
Symmetry: P4/mmm
Total moment (μB/cell): 0.32
Energy relative to the elements (meV per atom): 2610
Density (g/cm3): 6.92


Number 1: DFT total energy -18.33 eV per formula unit. Number 2: DFT total energy -23.18 eV per formula unit.